Run i
# Pr12NdDy7

A relaxed structure of Pr12NdDy7 (PBE-GGA, the Alexandria database).

Computed properties:
* SG: R-3 (148)
* V: 698 Å³/f.u.

Unit cell a=9.507 b=9.507 c=9.507 alpha=107.86 beta=107.86 gamma=107.86
Fractional positions:
Dy: 0.320 0.008 0.895
Dy: 0.680 0.992 0.105
Dy: 0.992 0.105 0.680
Dy: 0.008 0.895 0.320
Dy: 0.105 0.680 0.992
Dy: 0.500 0.500 0.500
Dy: 0.895 0.320 0.008
Pr: 0.328 0.622 0.779
Pr: 0.407 0.052 0.295
Pr: 0.378 0.221 0.672
Pr: 0.295 0.407 0.052
Pr: 0.948 0.705 0.593
Pr: 0.052 0.295 0.407
Pr: 0.705 0.593 0.948
Pr: 0.593 0.948 0.705
Pr: 0.221 0.672 0.378
Pr: 0.779 0.328 0.622
Pr: 0.622 0.779 0.328
Pr: 0.672 0.378 0.221
Nd: 0.000 0.000 0.000

Run ii
# Pr12NdDy7

A relaxed structure of Pr12NdDy7 (PBE-GGA, the Alexandria database).

Computed properties:
* SG: R-3 (148)
* V: 709 Å³/f.u.

Unit cell a=6.290 b=11.598 c=11.598 alpha=116.81 beta=100.42 gamma=100.42
Fractional positions:
Dy: 0.370 0.247 0.245
Dy: 0.125 0.755 0.002
Dy: 0.630 0.753 0.755
Dy: 0.875 0.245 0.998
Dy: 0.500 0.000 0.000
Dy: 0.123 0.998 0.753
Dy: 0.877 0.002 0.247
Pr: 0.422 0.001 0.355
Pr: 0.912 0.823 0.411
Pr: 0.912 0.412 0.823
Pr: 0.578 0.999 0.645
Pr: 0.501 0.589 0.412
Pr: 0.068 0.645 0.647
Pr: 0.499 0.411 0.588
Pr: 0.421 0.353 0.999
Pr: 0.088 0.588 0.177
Pr: 0.932 0.355 0.353
Pr: 0.088 0.177 0.589
Pr: 0.579 0.647 0.001
Nd: 0.000 0.000 0.000

It is run i that is the most stable of them.

Run i
# Pr3Nd6Dy2

A relaxed structure of Pr3Nd6Dy2 (PBE-GGA, the Alexandria database).

Computed properties:
* SG: R-3m (166)
* V: 383 Å³/f.u.

Unit cell a=3.663 b=3.663 c=33.023 alpha=86.82 beta=86.82 gamma=60.00
Fractional positions:
Pr: 0.272 0.272 0.184
Pr: 0.000 0.000 0.000
Pr: 0.728 0.728 0.816
Nd: 0.182 0.182 0.454
Nd: 0.908 0.908 0.277
Nd: 0.818 0.818 0.546
Nd: 0.636 0.636 0.092
Nd: 0.092 0.092 0.723
Nd: 0.364 0.364 0.908
Dy: 0.545 0.545 0.365
Dy: 0.455 0.455 0.635

Run ii
# Pr3Nd6Dy2

A relaxed structure of Pr3Nd6Dy2 (PBE-GGA, the Alexandria database).

Computed properties:
* SG: I4/mmm (139)
* V: 402 Å³/f.u.

Unit cell a=4.873 b=4.873 c=17.284 alpha=98.10 beta=98.10 gamma=90.00
Fractional positions:
Nd: 0.619 0.119 0.237
Nd: 0.119 0.619 0.237
Nd: 0.381 0.881 0.763
Nd: 0.881 0.381 0.763
Nd: 0.305 0.305 0.609
Nd: 0.695 0.695 0.391
Dy: 0.545 0.545 0.091
Dy: 0.455 0.455 0.909
Pr: 0.202 0.202 0.405
Pr: 0.000 0.000 0.000
Pr: 0.798 0.798 0.595

It is run i that is the most stable of them.

Run i
# PrNdDy

A relaxed structure of PrNdDy (PBE-GGA, the Alexandria database).

Computed properties:
* SG: I4mm (107)
* V: 103 Å³/f.u.

Unit cell a=3.654 b=3.654 c=8.146 alpha=102.96 beta=102.96 gamma=90.00
Fractional positions:
Nd: 0.002 0.002 0.005
Pr: 0.331 0.331 0.663
Dy: 0.666 0.666 0.332

Run ii
# PrNdDy

A relaxed structure of PrNdDy (PBE-GGA, the Alexandria database).

Computed properties:
* SG: P4/nmm (129)
* V: 107 Å³/f.u.

Unit cell a=4.924 b=4.924 c=8.842 alpha=90.00 beta=90.00 gamma=90.00
Fractional positions:
Nd: 0.000 0.500 0.699
Nd: 0.500 0.000 0.301
Dy: 0.000 0.000 0.000
Dy: 0.500 0.500 0.000
Pr: 0.000 0.500 0.303
Pr: 0.500 0.000 0.697

It is run i that is the most stable of them.

Run i
# PrNdDy

A relaxed structure of PrNdDy (PBE-GGA, the Alexandria database).

Computed properties:
* SG: Imm2 (44)
* V: 103 Å³/f.u.

Unit cell a=3.655 b=5.151 c=6.309 alpha=114.10 beta=106.84 gamma=90.00
Fractional positions:
Dy: 0.666 0.666 0.333
Nd: 0.001 0.001 0.002
Pr: 0.333 0.333 0.666

Run ii
# PrNdDy

A relaxed structure of PrNdDy (PBE-GGA, the Alexandria database).

Computed properties:
* SG: P-6m2 (187)
* V: 102 Å³/f.u.

Unit cell a=3.547 b=5.775 c=5.775 alpha=120.00 beta=90.00 gamma=90.00
Fractional positions:
Dy: 0.166 0.333 0.667
Pr: 0.667 0.667 0.333
Nd: 0.167 0.000 0.000

It is run i that is the most stable of them.